No. 1
A crystal of Ti3GeS relaxed with PBEsol. Source: Alexandria via LeMat-Bulk, functional SCAN.

Cell and atoms, written as extended XYZ:
```
5
Lattice="4.413 0.000 0.000 0.000 4.413 0.000 0.000 0.000 4.413" Properties=species:S:1:pos:R:3 pbc="T T T"
Ti 0.000 0.000 2.206
Ti 0.000 2.206 0.000
Ti 2.206 0.000 0.000
Ge 2.206 2.206 2.206
S 0.000 0.000 0.000
```

Values from the calculation:
symmetry	Pm-3m
ρ	4799	kg/m3
energy relative to the elements, uncorrected	-415	meV per atom

---

No. 2
A crystal of ZrZnSb2 relaxed with PBEsol. Source: Alexandria via LeMat-Bulk, functional SCAN.

Cell and atoms, written as extended XYZ:
```
4
Lattice="4.071 0.000 0.000 0.000 1.917 5.543 0.000 -1.917 5.543" Properties=species:S:1:pos:R:3 pbc="T T T"
Zr 0.000 0.000 0.000
Zn 2.036 0.000 1.995
Sb 0.000 0.000 7.900
Sb 2.036 0.000 4.702
```

Values from the calculation:
symmetry	Amm2
ρ	7682	kg/m3
energy relative to the elements, uncorrected	-419	meV per atom

---

No. 3
A crystal of Pb3I2Cl4O6 relaxed with PBEsol. Source: Alexandria via LeMat-Bulk, functional SCAN.

Cell and atoms, written as extended XYZ:
```
30
Lattice="7.649 -3.666 0.000 7.649 3.666 0.000 -5.695 0.000 10.424" Properties=species:S:1:pos:R:3 pbc="T T T"
Pb -0.842 1.015 7.044
Pb 3.377 2.370 7.818
Pb 2.006 -1.015 1.831
Pb 7.596 1.015 8.593
Pb 6.225 -2.370 2.606
Pb 10.444 -1.015 3.381
I 6.678 1.524 0.332
I 5.771 1.524 4.881
I 3.831 -1.524 5.544
I 2.923 -1.524 10.093
Cl 0.907 0.385 4.120
Cl -1.940 -0.385 9.332
Cl 4.492 0.385 2.390
Cl 1.645 -0.385 7.603
Cl 7.957 0.385 2.822
Cl 5.109 -0.385 8.034
Cl 11.542 0.385 1.092
Cl 8.695 -0.385 6.304
O 0.300 2.241 9.209
O 5.395 3.054 3.944
O 7.054 3.054 1.268
O 4.030 1.274 5.437
O 6.454 2.241 6.427
O 2.725 1.274 10.200
O 6.877 -1.274 0.225
O 3.148 -2.241 3.997
O 5.572 -1.274 4.987
O 2.548 -3.054 9.156
O 4.206 -3.054 6.481
O 9.302 -2.241 1.215
```

Values from the calculation:
symmetry	C2/c
ρ	6325	kg/m3
energy relative to the elements, uncorrected	-877	meV per atom

---

No. 4
A crystal of Be2RuCl relaxed with PBEsol. Source: Alexandria via LeMat-Bulk, functional SCAN.

Cell and atoms, written as extended XYZ:
```
4
Lattice="-1.616 1.616 4.578 1.616 -1.616 4.578 1.616 1.616 -4.578" Properties=species:S:1:pos:R:3 pbc="T T T"
Be 0.000 0.000 0.000
Be 0.000 1.616 2.289
Ru 1.616 0.000 2.289
Cl 0.000 0.000 4.578
```

Values from the calculation:
symmetry	I-4m2
ρ	5363	kg/m3
energy relative to the elements, uncorrected	507	meV per atom

---

No. 5
A crystal of ZrZn2Cd relaxed with PBEsol. Source: Alexandria via LeMat-Bulk, functional SCAN.

Cell and atoms, written as extended XYZ:
```
4
Lattice="4.262 0.000 0.000 0.000 1.466 5.566 0.000 -1.466 5.566" Properties=species:S:1:pos:R:3 pbc="T T T"
Zr 0.000 0.000 0.000
Zn 0.000 0.000 8.176
Zn 2.131 0.000 6.779
Cd 2.131 0.000 3.811
```

Values from the calculation:
symmetry	Amm2
ρ	7988	kg/m3
formation enthalpy at 0 K	-187	meV per atom

---

No. 6
A crystal of CrInAs2Br relaxed with PBEsol. Source: Alexandria via LeMat-Bulk, functional SCAN.

Cell and atoms, written as extended XYZ:
```
5
Lattice="4.604 0.000 0.000 0.000 4.604 0.000 0.000 0.000 5.415" Properties=species:S:1:pos:R:3 pbc="T T T"
Cr 0.000 0.000 0.000
In 2.302 2.302 2.707
As 0.000 2.302 0.000
As 2.302 0.000 0.000
Br 0.000 0.000 2.707
```

Values from the calculation:
symmetry	P4/mmm
ρ	5737	kg/m3
energy relative to the elements, uncorrected	50	meV per atom

---

No. 7
A crystal of Al2IrOs relaxed with PBEsol. Source: Alexandria via LeMat-Bulk, functional SCAN.

Cell and atoms, written as extended XYZ:
```
4
Lattice="0.000 2.988 2.988 2.988 0.000 2.988 2.988 2.988 0.000" Properties=species:S:1:pos:R:3 pbc="T T T"
Al 1.494 1.494 1.494
Al 4.481 4.481 4.481
Ir 0.000 0.000 0.000
Os 2.988 2.988 2.988
```

Values from the calculation:
symmetry	Fm-3m
ρ	13589	kg/m3
formation enthalpy at 0 K	-973	meV per atom

---

No. 8
A crystal of BaLi2Ir relaxed with PBEsol. Source: Alexandria via LeMat-Bulk, functional SCAN.

Cell and atoms, written as extended XYZ:
```
4
Lattice="1.524 0.880 10.079 -1.524 0.880 10.079 0.000 -1.760 10.079" Properties=species:S:1:pos:R:3 pbc="T T T"
Ba 0.000 0.000 0.000
Li 0.000 0.000 6.895
Li 0.000 0.000 23.343
Ir 0.000 0.000 15.119
```

Values from the calculation:
symmetry	R-3m
ρ	7033	kg/m3
formation enthalpy at 0 K	566	meV per atom

---

No. 9
A crystal of K2CaMo relaxed with PBEsol. Source: Alexandria via LeMat-Bulk, functional SCAN.

Cell and atoms, written as extended XYZ:
```
4
Lattice="-2.443 2.443 6.257 2.443 -2.443 6.257 2.443 2.443 -6.257" Properties=species:S:1:pos:R:3 pbc="T T T"
K 2.443 0.000 3.128
K 0.000 2.443 3.128
Ca 0.000 0.000 0.000
Mo 0.000 0.000 6.257
```

Values from the calculation:
symmetry	I4/mmm
ρ	2381	kg/m3
formation enthalpy at 0 K	1063	meV per atom

---

No. 10
A crystal of MgIr2Rh relaxed with PBEsol. Source: Alexandria via LeMat-Bulk, functional SCAN.

Cell and atoms, written as extended XYZ:
```
4
Lattice="4.514 -1.371 0.000 4.514 1.371 0.000 -0.792 0.000 4.622" Properties=species:S:1:pos:R:3 pbc="T T T"
Mg 0.000 0.000 0.000
Ir 1.622 0.000 3.277
Ir 4.107 0.000 2.325
Rh 6.640 0.000 1.057
```

Values from the calculation:
symmetry	Cm
ρ	14853	kg/m3
formation enthalpy at 0 K	-266	meV per atom

---

No. 11
A crystal of KMgMo2 relaxed with PBEsol. Source: Alexandria via LeMat-Bulk, functional SCAN.

Cell and atoms, written as extended XYZ:
```
4
Lattice="1.605 -2.441 0.000 1.605 2.441 0.000 0.000 0.000 10.646" Properties=species:S:1:pos:R:3 pbc="T T T"
K 0.000 0.000 0.000
Mg 1.605 0.000 7.329
Mo 0.000 0.000 4.922
Mo 1.605 0.000 3.041
```

Values from the calculation:
symmetry	Cmm2
ρ	5081	kg/m3
formation enthalpy at 0 K	632	meV per atom

---

No. 12
A crystal of SrAgSb relaxed with PBEsol. Source: Alexandria via LeMat-Bulk, functional SCAN.

Cell and atoms, written as extended XYZ:
```
3
Lattice="4.664 0.000 0.000 -2.332 4.039 0.000 0.000 0.000 4.480" Properties=species:S:1:pos:R:3 pbc="T T T"
Sr 0.000 0.000 0.000
Ag 0.000 2.693 2.240
Sb 2.332 1.346 2.240
```

Values from the calculation:
symmetry	P-6m2
ρ	6242	kg/m3
energy relative to the elements, uncorrected	-800	meV per atom